Crystalline LiGdThTl at its relaxed geometry, computed with PBE-GGA.

Computed properties:
Mass density = 9.071 g/cm3
Total energy = -6.485 eV per atom
ΔE_f = -0.2 eV/f.u.

a = 5.3774 Å, b = 5.3774 Å, c = 5.3774 Å
α = 60.00°, β = 60.00°, γ = 60.00°
Last column: magnetic moment on the atom in μB.
Sites, in units of the cell vectors:
Tl 0.5000 0.5000 0.5000  -0.02
Gd 0.7500 0.7500 0.7500  7.21
Th 0.2500 0.2500 0.2500  0.14
Li 0.0000 0.0000 0.0000  0.01